# Li2MnCrO4 PBE+U relaxed
data_Li2MnCrO4
_chemical_formula_sum 'Li8 Mn4 Cr4 O16'
_cell_length_a 8.273
_cell_length_b 8.304
_cell_length_c 6.004
_cell_angle_alpha 90.00
_cell_angle_beta 132.84
_cell_angle_gamma 90.00
_symmetry_space_group_name_H-M 'C 1 2/c 1'
_symmetry_Int_Tables_number 15
loop_
_symmetry_equiv_pos_as_xyz
'x,y,z'
'-x,-y,-z'
'-x,y,-z+1/2'
'x,-y,z+1/2'
'x+1/2,y+1/2,z'
'-x+1/2,-y+1/2,-z'
'-x+1/2,y+1/2,-z+1/2'
'x+1/2,-y+1/2,z+1/2'
loop_
_atom_site_label
_atom_site_fract_x
_atom_site_fract_y
_atom_site_fract_z
Li1 0.000 0.000 0.000
Li2 0.250 0.250 0.000
Mn1 0.250 0.250 0.500
Cr1 0.000 0.500 0.000
O1 0.021 0.256 0.514
O2 0.228 0.489 0.465
# **Polymorph energy (0 for the lowest one)**: 0 meV per atom